This record from Alexandria via LeMat-Bulk describes a geometry-optimized Ba2HgBiAu6 structure. The functional is PBE.

a b c (Å): 7.5033 7.5033 9.8801
angles (deg): 129.54 129.54 43.86
With the nearest neighbours (Å) after each atom.
Fractional coordinates of all 10 atoms:
Ba (0.0352, 0.0352, 0.2866)  7 Au 3.51-3.66, 2 Hg 3.74, 2 Bi 3.77
Ba (0.9648, 0.9648, 0.7134)  7 Au 3.51-3.66, 2 Hg 3.74, 2 Bi 3.77
Hg (0.5000, 0.5000, 0.5000)  6 Au 2.83-3.05
Bi (0.5000, 0.5000, 0.0000)  6 Au 2.96-3.01
Au (0.0072, 0.5087, 0.2609)  4 Au 2.79-3.04, 1 Hg 2.83, 1 Bi 2.96
Au (0.3263, 0.3263, 0.0796)  6 Au 2.90-3.20, 1 Bi 3.01, 1 Hg 3.05
Au (0.4913, 0.9928, 0.7391)  4 Au 2.79-3.04, 1 Hg 2.83, 1 Bi 2.96
Au (0.5087, 0.0072, 0.2609)  4 Au 2.79-3.04, 1 Hg 2.83, 1 Bi 2.96
Au (0.6737, 0.6737, 0.9204)  6 Au 2.90-3.20, 1 Bi 3.01, 1 Hg 3.05
Au (0.9928, 0.4913, 0.7391)  4 Au 2.79-3.04, 1 Hg 2.83, 1 Bi 2.96

Summary:
Formation enthalpy at 0 K, eV per atom: -0.412
V, Å³ per atom: 28.0
Uncorrected energy, eV/atom: -3.18